# 1
# Cu2RuAu

A relaxed structure of Cu2RuAu (PBEsol, the Alexandria database).

Computed properties:
The formation energy is 0.311 eV per atom. The calculation puts the density of states at the Fermi level at 4.46 states/eV per cell. The crystal system is monoclinic. Its space group is C2/m.

Lattice parameters (Å, degrees): 5.3840 8.7088 2.5600 90.00 114.90 90.00
Fractional positions:
Cu: 0.2500 0.2500 0.0000
Cu: 0.2500 0.7500 0.0000
Cu: 0.7500 0.2500 0.0000
Cu: 0.7500 0.7500 0.0000
Ru: 0.0000 0.0000 0.5000
Ru: 0.5000 0.5000 0.5000
Au: 0.0000 0.5000 0.5000
Au: 0.5000 0.0000 0.5000

***

# 2
# TiCuAuS2

A relaxed structure of TiCuAuS2 (PBEsol, the Alexandria database).

Computed properties:
The calculation puts the density of states at the Fermi level at 5.21 states/eV per cell. The crystal system is tetragonal. Its space group is P4/mmm. The formation energy without anion corrections is 0.358 eV per atom.

Lattice parameters (Å, degrees): 4.4073 4.4073 4.6759 90.00 90.00 90.00
Fractional positions:
Ti: 0.0000 0.0000 0.0000
Cu: 0.5000 0.5000 0.5000
Au: 0.5000 0.5000 0.0000
S: 0.0000 0.5000 0.5000
S: 0.5000 0.0000 0.5000

***

# 3
# CuSbAu2

A relaxed structure of CuSbAu2 (PBEsol, the Alexandria database).

Computed properties:
The calculation puts the density of states at the Fermi level at 3.44 states/eV per cell. The crystal system is orthorhombic. Its space group is Imm2. The formation energy without anion corrections is 0.078 eV per atom.

Lattice parameters (Å, degrees): 3.9861 4.1884 8.3518 90.00 90.00 90.00
Fractional positions:
Cu: 0.0000 0.0000 0.0000
Cu: 0.5000 0.5000 0.5000
Sb: 0.0000 0.5000 0.7497
Sb: 0.5000 0.0000 0.2497
Au: 0.0000 0.0000 0.5058
Au: 0.0000 0.5000 0.2600
Au: 0.5000 0.0000 0.7600
Au: 0.5000 0.5000 0.0058

***

# 4
# CuSb2Au

A relaxed structure of CuSb2Au (PBEsol, the Alexandria database).

Computed properties:
The calculation puts the density of states at the Fermi level at 2.49 states/eV per cell. The crystal system is orthorhombic. Its space group is Amm2. The formation energy without anion corrections is 0.019 eV per atom.

Lattice parameters (Å, degrees): 4.5857 4.9185 8.0072 90.00 90.00 90.00
Fractional positions:
Cu: 0.0000 0.0000 0.0000
Cu: 0.0000 0.5000 0.5000
Sb: 0.0000 0.0000 0.3561
Sb: 0.0000 0.5000 0.8561
Sb: 0.5000 0.0000 0.8218
Sb: 0.5000 0.5000 0.3218
Au: 0.5000 0.0000 0.1628
Au: 0.5000 0.5000 0.6628

***

# 5
# Cu2SbAu2

A relaxed structure of Cu2SbAu2 (PBEsol, the Alexandria database).

Computed properties:
The calculation puts the density of states at the Fermi level at 3.41 states/eV per cell. The crystal system is tetragonal. Its space group is P4/mbm. The formation energy without anion corrections is 0.030 eV per atom.

Lattice parameters (Å, degrees): 7.4257 7.4257 2.9895 90.00 90.00 90.00
Fractional positions:
Cu: 0.1586 0.3414 0.0000
Cu: 0.3414 0.8414 0.0000
Cu: 0.6586 0.1586 0.0000
Cu: 0.8414 0.6586 0.0000
Sb: 0.0000 0.0000 0.5000
Sb: 0.5000 0.5000 0.5000
Au: 0.1369 0.6369 0.5000
Au: 0.3631 0.1369 0.5000
Au: 0.6369 0.8631 0.5000
Au: 0.8631 0.3631 0.5000

***

# 6
# ScCu2Au

A relaxed structure of ScCu2Au (PBEsol, the Alexandria database).

Computed properties:
The formation energy is -0.358 eV per atom. The calculation puts the density of states at the Fermi level at 3.84 states/eV per cell. The crystal system is tetragonal. Its space group is I-4m2.

Lattice parameters (Å, degrees): 3.9162 3.9162 7.7927 90.00 90.00 90.00
Fractional positions:
Sc: 0.0000 0.0000 0.0000
Sc: 0.5000 0.5000 0.5000
Cu: 0.0000 0.0000 0.5000
Cu: 0.0000 0.5000 0.7500
Cu: 0.5000 0.0000 0.2500
Cu: 0.5000 0.5000 0.0000
Au: 0.0000 0.5000 0.2500
Au: 0.5000 0.0000 0.7500

***

# 7
# ScCuAu4

A relaxed structure of ScCuAu4 (PBEsol, the Alexandria database).

Computed properties:
The formation energy is -0.163 eV per atom. The calculation puts the density of states at the Fermi level at 2.91 states/eV per cell. The crystal system is cubic. Its space group is F-43m.

Lattice parameters (Å, degrees): 5.3411 5.3411 5.3411 60.00 60.00 60.00
Fractional positions:
Sc: 0.0000 0.0000 0.0000
Cu: 0.7500 0.7500 0.7500
Au: 0.3752 0.3752 0.3752
Au: 0.3752 0.3752 0.8743
Au: 0.3752 0.8743 0.3752
Au: 0.8743 0.3752 0.3752

***

# 8
# ScCuAu3

A relaxed structure of ScCuAu3 (PBEsol, the Alexandria database).

Computed properties:
The formation energy is 0.906 eV per atom. The calculation puts the density of states at the Fermi level at 1.75 states/eV per cell. The crystal system is cubic. Its space group is Pm-3m.

Lattice parameters (Å, degrees): 4.9731 4.9731 4.9731 90.00 90.00 90.00
Fractional positions:
Sc: 0.0000 0.0000 0.0000
Cu: 0.5000 0.5000 0.5000
Au: 0.0000 0.0000 0.5000
Au: 0.0000 0.5000 0.0000
Au: 0.5000 0.0000 0.0000